{"formula": "NaInSnPt", "functional": "PBE-GGA", "state": "relaxed", "final_energy_ev_per_cell": -14.58, "cell": [[3.699, -1.746, -2.770], [0.680, -4.875, -0.425], [-0.976, -2.266, -4.280]], "species": ["Na", "In", "Pt", "Sn"], "frac_coords": [[0.750, 0.750, 0.750], [0.000, 0.000, 0.000], [0.500, 0.500, 0.500], [0.250, 0.250, 0.250]]}